(1)
{
  "formula": "PbSBr",
  "functional": "GGA-PBE",
  "state": "optimized geometry",
  "mass_density_g_cm3": 5.326,
  "crystal_system": "triclinic",
  "e_above_lowest_polymorph_mev_per_atom": 49,
  "formation_energy_uncorrected_ev_per_atom": -0.565,
  "lattice": [[5.1242, 0.0000, 0.0000], [-0.8295, 6.0864, 0.0000], [-2.1470, -2.8333, 6.3819]],
  "species": ["Pb", "Pb", "S", "S", "Br", "Br"],
  "fractional_positions": [[0.1569, 0.1598, 0.3142], [0.8431, 0.8402, 0.6858], [0.3845, 0.1271, 0.9957], [0.6155, 0.8729, 0.0043], [0.1810, 0.6836, 0.3515], [0.8190, 0.3164, 0.6485]]
}

***

(2)
{
  "formula": "PbSBr",
  "functional": "GGA-PBE",
  "state": "optimized geometry",
  "mass_density_g_cm3": 5.554,
  "crystal_system": "monoclinic",
  "e_above_lowest_polymorph_mev_per_atom": 66,
  "formation_energy_uncorrected_ev_per_atom": -0.548,
  "lattice": [[2.9980, -9.0104, 0.0000], [2.9980, 9.0104, 0.0000], [-2.3711, 0.0000, 3.5325]],
  "species": ["Pb", "Pb", "S", "S", "Br", "Br"],
  "fractional_positions": [[0.1187, 0.8813, 0.0000], [0.8813, 0.1187, 0.0000], [0.0979, 0.0979, 0.5785], [0.7236, 0.7236, 0.0465], [0.4522, 0.8202, 0.2478], [0.8202, 0.4522, 0.2478]]
}

***

(3)
{
  "formula": "Pb2SBr",
  "functional": "GGA-PBE",
  "state": "optimized geometry",
  "mass_density_g_cm3": 5.515,
  "crystal_system": "tetragonal",
  "e_above_lowest_polymorph_mev_per_atom": 195,
  "formation_energy_uncorrected_ev_per_atom": -0.295,
  "lattice": [[-3.1839, 3.1839, 7.8178], [3.1839, -3.1839, 7.8178], [3.1839, 3.1839, -7.8178]],
  "species": ["Pb", "Pb", "Pb", "Pb", "S", "S", "Br", "Br"],
  "fractional_positions": [[0.0696, 0.6250, 0.9446], [0.3750, 0.3196, 0.4446], [0.6804, 0.1250, 0.0554], [0.8750, 0.9304, 0.5554], [0.0000, 0.0000, 0.0000], [0.7500, 0.2500, 0.5000], [0.2500, 0.7500, 0.5000], [0.5000, 0.5000, 0.0000]]
}

***

(4)
{
  "formula": "PbSBr",
  "functional": "GGA-PBE",
  "state": "optimized geometry",
  "mass_density_g_cm3": 5.207,
  "crystal_system": "triclinic",
  "e_above_lowest_polymorph_mev_per_atom": 44,
  "formation_energy_uncorrected_ev_per_atom": -0.570,
  "lattice": [[4.2316, 0.0000, 0.0000], [0.4989, 5.9068, 0.0000], [0.5966, 2.3041, 8.1449]],
  "species": ["Pb", "Pb", "S", "S", "Br", "Br"],
  "fractional_positions": [[0.0000, 0.0000, 0.0000], [0.0707, 0.2975, 0.4142], [0.4698, 0.9415, 0.2490], [0.5090, 0.6193, 0.4263], [0.1000, 0.4889, 0.0453], [0.5263, 0.0878, 0.7122]]
}

***

(5)
{
  "formula": "Pb3S2Br2",
  "functional": "GGA-PBE",
  "state": "optimized geometry",
  "mass_density_g_cm3": 5.931,
  "crystal_system": "triclinic",
  "e_above_lowest_polymorph_mev_per_atom": 0,
  "formation_energy_uncorrected_ev_per_atom": -0.697,
  "lattice": [[4.2521, 0.0000, 0.0000], [2.1260, 7.0428, 0.0000], [0.0109, 1.5000, 7.9054]],
  "species": ["Pb", "Pb", "Pb", "S", "S", "Br", "Br"],
  "fractional_positions": [[0.0000, 0.0000, 0.0000], [0.2369, 0.5275, 0.7742], [0.7631, 0.4725, 0.2258], [0.3660, 0.2674, 0.0809], [0.6340, 0.7326, 0.9191], [0.1250, 0.7479, 0.3542], [0.8750, 0.2521, 0.6458]]
}

***

(6)
{
  "formula": "PbSBr",
  "functional": "GGA-PBE",
  "state": "optimized geometry",
  "mass_density_g_cm3": 5.352,
  "crystal_system": "monoclinic",
  "e_above_lowest_polymorph_mev_per_atom": 120,
  "formation_energy_uncorrected_ev_per_atom": -0.493,
  "lattice": [[3.9802, -3.9451, 0.0000], [3.9802, 3.9451, 0.0000], [-3.7097, 0.0000, 6.3065]],
  "species": ["Pb", "Pb", "S", "S", "Br", "Br"],
  "fractional_positions": [[0.2447, 0.7553, 0.0000], [0.7553, 0.2447, 0.0000], [0.6415, 0.6415, 0.8276], [0.8055, 0.8055, 0.1702], [0.0802, 0.0802, 0.7177], [0.3489, 0.3489, 0.2789]]
}

***

- Which formula does entry 2 have?
  PbSBr